[1]
Computed, not measured: an optimized crystal structure of LiTiHgPt at the GGA-PBE level of DFT.

a = 4.5166 Å, b = 4.5166 Å, c = 4.5166 Å
α = 60.00°, β = 60.00°, γ = 60.00°
Closest atoms and distances in Å follow each position.
Element x y z (fractional)
1 Li 0.0000 0.0000 0.0000  4 Hg 2.77, 4 Pt 2.77
2 Hg 0.2500 0.2500 0.2500  4 Ti 2.77, 4 Li 2.77
3 Ti 0.5000 0.5000 0.5000  4 Pt 2.77, 4 Hg 2.77
4 Pt 0.7500 0.7500 0.7500  4 Li 2.77, 4 Ti 2.77

Summary:
Crystal system   cubic

[2]
Computed, not measured: an optimized crystal structure of LiTl2HgPt at the GGA-PBE level of DFT.

a = 5.3152 Å, b = 5.3152 Å, c = 4.9118 Å
α = 90.00°, β = 90.00°, γ = 90.00°
Closest atoms and distances in Å follow each position.
Element x y z (fractional)
1 Li 0.0000 0.0000 0.5000  2 Pt 2.46
2 Hg 0.5000 0.5000 0.5000  8 Tl 3.62, 4 Li 3.76
3 Tl 0.0000 0.5000 0.0000  2 Pt 2.66
4 Tl 0.5000 0.0000 0.0000  2 Pt 2.66
5 Pt 0.0000 0.0000 0.0000  2 Li 2.46, 4 Tl 2.66

Summary:
Crystal system   tetragonal

[3]
Computed, not measured: an optimized crystal structure of LiTlHgPt at the GGA-PBE level of DFT.

a = 4.7580 Å, b = 4.7580 Å, c = 4.7580 Å
α = 60.00°, β = 60.00°, γ = 60.00°
Closest atoms and distances in Å follow each position.
Element x y z (fractional)
1 Pt 0.7500 0.7500 0.7500  4 Tl 2.91, 4 Hg 2.91
2 Hg 0.0000 0.0000 0.0000  4 Li 2.91, 4 Pt 2.91
3 Li 0.2500 0.2500 0.2500  4 Hg 2.91, 4 Tl 2.91
4 Tl 0.5000 0.5000 0.5000  4 Pt 2.91, 4 Li 2.91

Summary:
Crystal system   cubic

no.,V (Å³/cell),ΔH_f (0 K) (eV per atom)
1,65,-0.4324
2,139,-0.1227
3,76,-0.2445